Entry a
First-principles (PBE-GGA) data for a relaxed SmIn6Hg12 crystal, as listed in Alexandria via LeMat-Bulk. Values from VASP.

Results
space-group type = No. 148
theoretical density = 10.5 Mg/m³

Geometry as Quantum ESPRESSO input:
```
&SYSTEM
  ibrav = 0, nat = 19, ntyp = 3
/
ATOMIC_SPECIES
Sm 150.36 Sm.upf
In 114.82 In.upf
Hg 200.59 Hg.upf
CELL_PARAMETERS angstrom
-7.493 1.956 2.029
-2.525 -4.234 -6.307
-0.118 -6.460 4.727
ATOMIC_POSITIONS crystal
Sm 0.000 0.000 0.000
In 0.259 0.145 0.716
In 0.855 0.284 0.741
In 0.284 0.741 0.855
In 0.741 0.855 0.284
In 0.145 0.716 0.259
In 0.716 0.259 0.145
Hg 0.553 0.192 0.484
Hg 0.192 0.484 0.553
Hg 0.484 0.553 0.192
Hg 0.447 0.808 0.516
Hg 0.808 0.516 0.447
Hg 0.516 0.447 0.808
Hg 0.953 0.845 0.624
Hg 0.376 0.047 0.155
Hg 0.155 0.376 0.047
Hg 0.047 0.155 0.376
Hg 0.624 0.953 0.845
Hg 0.845 0.624 0.953
```

---

Entry b
First-principles (PBE-GGA) data for a relaxed SmIn6Hg12 crystal, as listed in Alexandria via LeMat-Bulk. Values from VASP.

Results
space-group type = No. 148
theoretical density = 10.9 Mg/m³

Geometry as Quantum ESPRESSO input:
```
&SYSTEM
  ibrav = 0, nat = 19, ntyp = 3
/
ATOMIC_SPECIES
Sm 150.36 Sm.upf
In 114.82 In.upf
Hg 200.59 Hg.upf
CELL_PARAMETERS angstrom
-5.012 -5.260 4.828
5.180 -4.710 -5.204
4.787 5.167 5.147
ATOMIC_POSITIONS crystal
Sm 0.000 0.000 0.000
In 0.612 0.915 0.402
In 0.598 0.388 0.085
In 0.085 0.598 0.388
In 0.388 0.085 0.598
In 0.402 0.612 0.915
In 0.915 0.402 0.612
Hg 0.802 0.693 0.537
Hg 0.537 0.802 0.693
Hg 0.693 0.537 0.802
Hg 0.198 0.307 0.463
Hg 0.463 0.198 0.307
Hg 0.307 0.463 0.198
Hg 0.903 0.840 0.267
Hg 0.160 0.733 0.097
Hg 0.733 0.097 0.160
Hg 0.097 0.160 0.733
Hg 0.840 0.267 0.903
Hg 0.267 0.903 0.840
```

---

entry b (2.2 kJ/mol of atoms below the next structure)

---

Entry a
First-principles (PBE-GGA) data for a relaxed Sm2In2Hg crystal, as listed in Alexandria via LeMat-Bulk. Values from VASP.

Results
space-group type = No. 127
theoretical density = 8.1 Mg/m³

Geometry as Quantum ESPRESSO input:
```
&SYSTEM
  ibrav = 0, nat = 10, ntyp = 3
/
ATOMIC_SPECIES
Sm 150.36 Sm.upf
In 114.82 In.upf
Hg 200.59 Hg.upf
CELL_PARAMETERS angstrom
3.799 0.000 0.000
0.000 8.898 0.000
0.000 0.000 8.898
ATOMIC_POSITIONS crystal
Sm 0.000 0.320 0.820
Sm 0.000 0.820 0.680
Sm 0.000 0.680 0.180
Sm 0.000 0.180 0.320
In 0.500 0.119 0.619
In 0.500 0.619 0.881
In 0.500 0.881 0.381
In 0.500 0.381 0.119
Hg 0.000 0.000 0.000
Hg 0.000 0.500 0.500
```

---

Entry b
First-principles (PBE-GGA) data for a relaxed Sm2In2Hg crystal, as listed in Alexandria via LeMat-Bulk. Values from VASP.

Results
space-group type = No. 12
theoretical density = 8.8 Mg/m³

Geometry as Quantum ESPRESSO input:
```
&SYSTEM
  ibrav = 0, nat = 10, ntyp = 3
/
ATOMIC_SPECIES
Sm 150.36 Sm.upf
In 114.82 In.upf
Hg 200.59 Hg.upf
CELL_PARAMETERS angstrom
-1.083 -1.247 -4.505
-4.736 -4.013 -0.306
-6.385 7.545 -3.109
ATOMIC_POSITIONS crystal
Sm 0.684 0.302 0.329
Sm 0.921 0.256 0.902
Sm 0.316 0.698 0.671
Sm 0.079 0.744 0.098
In 0.079 0.281 0.562
In 0.649 0.815 0.887
In 0.921 0.719 0.438
In 0.351 0.185 0.113
Hg 0.608 0.113 0.671
Hg 0.392 0.887 0.329
```

---

entry b (16.4 kJ/mol of atoms below the next structure)

---

Entry a
First-principles (PBE-GGA) data for a relaxed SmInHg6 crystal, as listed in Alexandria via LeMat-Bulk. Values from VASP.

Results
space-group type = No. 166
theoretical density = 10.5 Mg/m³

Geometry as Quantum ESPRESSO input:
```
&SYSTEM
  ibrav = 0, nat = 8, ntyp = 3
/
ATOMIC_SPECIES
Sm 150.36 Sm.upf
In 114.82 In.upf
Hg 200.59 Hg.upf
CELL_PARAMETERS angstrom
-1.988 6.068 -5.533
1.471 -1.150 -8.240
-3.608 0.145 -4.996
ATOMIC_POSITIONS crystal
Sm 0.000 0.000 0.000
In 0.500 0.500 0.500
Hg 0.160 0.160 0.153
Hg 0.160 0.527 0.153
Hg 0.473 0.840 0.847
Hg 0.840 0.473 0.847
Hg 0.840 0.840 0.847
Hg 0.527 0.160 0.153
```

---

Entry b
First-principles (PBE-GGA) data for a relaxed SmInHg6 crystal, as listed in Alexandria via LeMat-Bulk. Values from VASP.

Results
space-group type = No. 38
theoretical density = 12.0 Mg/m³

Geometry as Quantum ESPRESSO input:
```
&SYSTEM
  ibrav = 0, nat = 8, ntyp = 3
/
ATOMIC_SPECIES
Sm 150.36 Sm.upf
In 114.82 In.upf
Hg 200.59 Hg.upf
CELL_PARAMETERS angstrom
-4.913 0.931 0.382
-0.396 -4.188 5.103
1.322 6.185 1.932
ATOMIC_POSITIONS crystal
Sm 0.000 0.117 0.883
In 0.500 0.376 0.624
Hg 0.000 0.080 0.376
Hg 0.000 0.624 0.920
Hg 0.000 0.588 0.412
Hg 0.500 0.420 0.129
Hg 0.500 0.871 0.580
Hg 0.500 0.924 0.076
```

---

entry b (11.0 kJ/mol of atoms below the next structure)

---

Entry a
First-principles (PBE-GGA) data for a relaxed SrSmInHg crystal, as listed in Alexandria via LeMat-Bulk. Values from VASP.

Results
space-group type = No. 99
theoretical density = 7.6 Mg/m³

Geometry as Quantum ESPRESSO input:
```
&SYSTEM
  ibrav = 0, nat = 4, ntyp = 4
/
ATOMIC_SPECIES
Sr 87.62 Sr.upf
Sm 150.36 Sm.upf
In 114.82 In.upf
Hg 200.59 Hg.upf
CELL_PARAMETERS angstrom
3.867 0.000 0.000
0.000 3.867 0.000
0.000 0.000 8.070
ATOMIC_POSITIONS crystal
Sr 0.000 0.000 0.852
Sm 0.000 0.000 0.363
In 0.500 0.500 0.129
Hg 0.500 0.500 0.584
```

---

Entry b
First-principles (PBE-GGA) data for a relaxed SrSmInHg crystal, as listed in Alexandria via LeMat-Bulk. Values from VASP.

Results
space-group type = No. 216
theoretical density = 7.6 Mg/m³

Geometry as Quantum ESPRESSO input:
```
&SYSTEM
  ibrav = 0, nat = 4, ntyp = 4
/
ATOMIC_SPECIES
Sr 87.62 Sr.upf
Hg 200.59 Hg.upf
Sm 150.36 Sm.upf
In 114.82 In.upf
CELL_PARAMETERS angstrom
5.551 0.000 0.000
2.776 4.808 0.000
2.776 1.603 4.533
ATOMIC_POSITIONS crystal
Sr 0.000 0.000 0.000
Hg 0.250 0.250 0.250
Sm 0.500 0.500 0.500
In 0.750 0.750 0.750
```

---

entry a (3.4 kJ/mol of atoms below the next structure)

---

Entry a
First-principles (PBE-GGA) data for a relaxed In6SnHg12 crystal, as listed in Alexandria via LeMat-Bulk. Values from VASP.

Results
space-group type = No. 148
theoretical density = 9.6 Mg/m³

Geometry as Quantum ESPRESSO input:
```
&SYSTEM
  ibrav = 0, nat = 19, ntyp = 3
/
ATOMIC_SPECIES
In 114.82 In.upf
Sn 118.71 Sn.upf
Hg 200.59 Hg.upf
CELL_PARAMETERS angstrom
8.428 -0.230 -0.275
-1.505 8.295 -0.275
-1.505 -1.753 8.113
ATOMIC_POSITIONS crystal
In 0.668 0.793 0.304
In 0.696 0.332 0.207
In 0.207 0.696 0.332
In 0.332 0.207 0.696
In 0.304 0.668 0.793
In 0.793 0.304 0.668
Sn 0.000 0.000 0.000
Hg 0.874 0.617 0.527
Hg 0.527 0.874 0.617
Hg 0.617 0.527 0.874
Hg 0.126 0.383 0.473
Hg 0.473 0.126 0.383
Hg 0.383 0.473 0.126
Hg 0.070 0.997 0.353
Hg 0.003 0.647 0.930
Hg 0.647 0.930 0.003
Hg 0.930 0.003 0.647
Hg 0.997 0.353 0.070
Hg 0.353 0.070 0.997
```

---

Entry b
First-principles (PBE-GGA) data for a relaxed In6SnHg12 crystal, as listed in Alexandria via LeMat-Bulk. Values from VASP.

Results
space-group type = No. 148
theoretical density = 10.2 Mg/m³

Geometry as Quantum ESPRESSO input:
```
&SYSTEM
  ibrav = 0, nat = 19, ntyp = 3
/
ATOMIC_SPECIES
In 114.82 In.upf
Sn 118.71 Sn.upf
Hg 200.59 Hg.upf
CELL_PARAMETERS angstrom
-5.530 -0.121 -5.888
-4.270 -5.924 3.456
-4.926 5.121 3.845
ATOMIC_POSITIONS crystal
In 0.132 0.295 0.757
In 0.705 0.243 0.868
In 0.243 0.868 0.705
In 0.868 0.705 0.243
In 0.295 0.757 0.132
In 0.757 0.132 0.295
Sn 0.000 0.000 0.000
Hg 0.472 0.195 0.563
Hg 0.195 0.563 0.472
Hg 0.563 0.472 0.195
Hg 0.528 0.805 0.437
Hg 0.805 0.437 0.528
Hg 0.437 0.528 0.805
Hg 0.874 0.878 0.595
Hg 0.405 0.126 0.122
Hg 0.122 0.405 0.126
Hg 0.126 0.122 0.405
Hg 0.595 0.874 0.878
Hg 0.878 0.595 0.874
```

---

entry b (2.7 kJ/mol of atoms below the next structure)